Material: CsPtI2O
Method: DFT, SCAN
State: PBEsol geometry

Results
Formation energy (no corrections) (meV/atom): 1115.4
Density of states at the Fermi level (states/eV/atom): 1.012
Calculated total energy (eV per atom): -36.428

a = 4.1651 Å, b = 6.5512 Å, c = 6.5512 Å
α = 90.00°, β = 90.00°, γ = 90.00°
Closest atoms and distances in Å follow each position.
Sites, in units of the cell vectors:
Cs1 0.0000 0.0000 0.0000  2 O 2.08
I1 0.0000 0.0000 0.5000  2 Cs 3.28
I2 0.0000 0.5000 0.0000  2 Cs 3.28
O1 0.5000 0.0000 0.0000  2 Cs 2.08
Pt1 0.5000 0.5000 0.5000  8 I 3.88, 2 Pt 4.17

Material: La2Hg
Method: DFT, SCAN
State: PBEsol geometry

Results
Density of states at the Fermi level (states/eV/atom): 1.036
Calculated total energy (eV per atom): -51.977

a = 4.5546 Å, b = 8.3810 Å, c = 8.3810 Å
α = 120.00°, β = 90.00°, γ = 90.00°
Closest atoms and distances in Å follow each position.
Sites, in units of the cell vectors:
Hg1 0.5000 0.0000 0.0000  9 La 3.23-3.35
Hg2 0.0000 0.6667 0.3333  9 La 3.08-3.43
Hg3 0.0000 0.3333 0.6667  9 La 3.08-3.43
La1 0.0000 0.0000 0.2727  4 Hg 3.08-3.23
La2 0.5000 0.0000 0.6006  5 Hg 3.35-3.43, 6 La 3.57-3.74
La3 0.0000 0.7273 0.7273  4 Hg 3.08-3.23
La4 0.0000 0.2727 0.0000  4 Hg 3.08-3.23
La5 0.5000 0.3994 0.3994  5 Hg 3.35-3.43, 6 La 3.57-3.74
La6 0.5000 0.6006 0.0000  5 Hg 3.35-3.43, 6 La 3.57-3.74

Material: SrLi2Sn2
Method: DFT, SCAN
State: PBEsol geometry

Results
Energy relative to the lowest polymorph listed for this composition (eV per atom): 0.051
Density of states at the Fermi level (states/eV/atom): 0.304
Calculated total energy (eV per atom): -20.260

a = 3.1656 Å, b = 8.4983 Å, c = 8.4983 Å
α = 90.00°, β = 90.00°, γ = 90.00°
Closest atoms and distances in Å follow each position.
Sites, in units of the cell vectors:
Sr1 0.0000 0.0000 0.0000  2 Sr 3.17, 4 Li 3.40, 8 Sn 3.52
Sr2 0.0000 0.5000 0.5000  2 Sr 3.17, 4 Li 3.40, 8 Sn 3.52
Sn1 0.5000 0.1743 0.6743  6 Li 2.96-2.98, 2 Sn 3.17
Sn2 0.5000 0.6743 0.8257  6 Li 2.96-2.98, 2 Sn 3.17
Sn3 0.5000 0.8257 0.3257  6 Li 2.96-2.98, 2 Sn 3.17
Sn4 0.5000 0.3257 0.1743  6 Li 2.96-2.98, 2 Sn 3.17
Li1 0.0000 0.3824 0.8824  1 Li 2.83, 6 Sn 2.96-2.98
Li2 0.0000 0.8824 0.6176  1 Li 2.83, 6 Sn 2.96-2.98
Li3 0.0000 0.6176 0.1176  1 Li 2.83, 6 Sn 2.96-2.98
Li4 0.0000 0.1176 0.3824  1 Li 2.83, 6 Sn 2.96-2.98

Material: Mg2NiHgGe
Method: DFT, SCAN
State: PBEsol geometry

Results
Density of states at the Fermi level (states/eV/atom): 0.239
Calculated total energy (eV per atom): -22.832

a = 4.3021 Å, b = 4.8979 Å, c = 4.8979 Å
α = 90.00°, β = 90.00°, γ = 90.00°
Closest atoms and distances in Å follow each position.
Sites, in units of the cell vectors:
Mg1 0.0000 0.0000 0.5000  2 Ni 2.45
Mg2 0.0000 0.5000 0.0000  2 Ni 2.45
Ni1 0.0000 0.0000 0.0000  2 Ge 2.15
Ge1 0.5000 0.0000 0.0000  2 Ni 2.15
Hg1 0.5000 0.5000 0.5000  8 Mg 3.26, 4 Ge 3.46

Material: PWO2F
Method: DFT, SCAN
State: PBEsol geometry

Results
Formation energy (no corrections) (meV/atom): -1158.6
Density of states at the Fermi level (states/eV/atom): 0.427
Calculated total energy (eV per atom): -20.376

a = 3.7406 Å, b = 3.7406 Å, c = 4.9595 Å
α = 90.00°, β = 90.00°, γ = 90.00°
Closest atoms and distances in Å follow each position.
Sites, in units of the cell vectors:
P1 0.0000 0.0000 0.5000  2 W 2.48, 4 F 2.64
O1 0.0000 0.5000 0.0000  2 W 1.87
O2 0.5000 0.0000 0.0000  2 W 1.87
W1 0.0000 0.0000 0.0000  4 O 1.87
F1 0.5000 0.5000 0.5000  4 P 2.64

Material: Na2ZrNiP4O14
Method: DFT, SCAN
State: PBEsol geometry

Results
Formation energy (no corrections) (meV/atom): -2576.7
Density of states at the Fermi level (states/eV/atom): 0.000
Calculated total energy (eV per atom): -10.946

a = 6.4945 Å, b = 6.5198 Å, c = 6.9102 Å
α = 65.61°, β = 85.53°, γ = 81.62°
Closest atoms and distances in Å follow each position.
Sites, in units of the cell vectors:
Na1 0.2479 0.1828 0.3966  3 O 2.18-2.31
Na2 0.5438 0.5783 0.0867  3 O 2.25-2.49
Zr1 0.0104 0.9667 0.0095  6 O 2.04-2.14
Ni1 0.7031 0.7967 0.4470  5 O 2.00-2.19
P1 0.2280 0.6771 0.4590  4 O 1.49-1.61
P2 0.9688 0.5356 0.8606  4 O 1.52-1.58
P3 0.4922 0.1215 0.9740  4 O 1.48-1.59
P4 0.7346 0.2482 0.5571  4 O 1.51-1.62
O1 0.0421 0.6672 0.9770  1 P 1.54
O2 0.7530 0.4949 0.4121  1 P 1.52
O3 0.3866 0.8139 0.4845  1 P 1.52
O4 0.3011 0.5232 0.3511  1 P 1.49
O5 0.7607 0.6469 0.7575  1 P 1.52
O6 0.1435 0.5223 0.6914  2 P 1.58-1.61
O7 0.0276 0.8439 0.3482  1 P 1.59
O8 0.5568 0.2561 0.7328  2 P 1.59-1.62
O9 0.6857 0.9493 0.0856  1 P 1.57
O10 0.3256 0.9756 0.9668  1 P 1.56
O11 0.9634 0.2872 0.0158  1 P 1.53
O12 0.9341 0.1286 0.6918  1 P 1.56
O13 0.4141 0.2849 0.0690  1 P 1.48
O14 0.6695 0.1127 0.4454  1 P 1.51

Material: YZn2Pb2
Method: DFT, SCAN
State: PBEsol geometry

Results
Density of states at the Fermi level (states/eV/atom): 0.339
Calculated total energy (eV per atom): -41.443

a = 4.0303 Å, b = 4.0303 Å, c = 7.7482 Å
α = 105.07°, β = 105.07°, γ = 90.00°
Closest atoms and distances in Å follow each position.
Sites, in units of the cell vectors:
Pb1 0.3878 0.3878 0.7755  4 Zn 2.83
Pb2 0.6122 0.6122 0.2245  4 Zn 2.83
Y1 0.0000 0.0000 0.0000  8 Pb 3.28
Zn1 0.2500 0.7500 0.5000  4 Pb 2.83, 4 Zn 2.85
Zn2 0.7500 0.2500 0.5000  4 Pb 2.83, 4 Zn 2.85

Material: MgZrTe2
Method: DFT, SCAN
State: PBEsol geometry

Results
Formation energy (no corrections) (meV/atom): -704.4
Density of states at the Fermi level (states/eV/atom): 0.246
Calculated total energy (eV per atom): -28.248

a = 3.6367 Å, b = 3.6396 Å, c = 7.1273 Å
α = 97.74°, β = 90.00°, γ = 90.00°
Closest atoms and distances in Å follow each position.
Sites, in units of the cell vectors:
Mg1 0.5000 0.5000 0.0000  4 Te 2.94
Te1 0.0000 0.0612 0.7326  2 Mg 2.94, 4 Zr 3.05, 1 Te 3.29
Te2 0.0000 0.9388 0.2674  2 Mg 2.94, 4 Zr 3.05, 1 Te 3.29
Zr1 0.5000 0.5000 0.5000  8 Te 3.05

Material: Ag2TePb
Method: DFT, SCAN
State: PBEsol geometry

Results
Formation energy (no corrections) (meV/atom): 125.0
Density of states at the Fermi level (states/eV/atom): 0.292
Calculated total energy (eV per atom): -43.817

a = 4.1158 Å, b = 4.6949 Å, c = 4.6949 Å
α = 90.42°, β = 90.14°, γ = 90.14°
Closest atoms and distances in Å follow each position.
Sites, in units of the cell vectors:
Pb1 0.5000 0.5000 0.5000  8 Ag 3.12-3.13, 4 Te 3.31-3.33
Te1 0.5000 0.0000 0.0000  8 Ag 3.12-3.13, 4 Pb 3.31-3.33
Ag1 0.0000 0.0000 0.5000  4 Pb 3.12-3.13, 4 Te 3.12-3.13, 4 Ag 3.31-3.33
Ag2 0.0000 0.5000 0.0000  4 Te 3.12-3.13, 4 Pb 3.12-3.13, 4 Ag 3.31-3.33

Material: Ba4CdBr
Method: DFT, SCAN
State: PBEsol geometry

Results
Formation energy (no corrections) (meV/atom): 39.0
Density of states at the Fermi level (states/eV/atom): 1.060
Calculated total energy (eV per atom): -34.640

a = 7.2346 Å, b = 7.2346 Å, c = 7.2346 Å
α = 60.00°, β = 60.00°, γ = 60.00°
Closest atoms and distances in Å follow each position.
Sites, in units of the cell vectors:
Ba1 0.3753 0.3753 0.3753  6 Ba 3.61-3.63
Ba2 0.3753 0.3753 0.8741  6 Ba 3.61-3.63
Ba3 0.8741 0.3753 0.3753  6 Ba 3.61-3.63
Ba4 0.3753 0.8741 0.3753  6 Ba 3.61-3.63
Br1 0.7500 0.7500 0.7500  12 Ba 4.24, 4 Cd 4.43
Cd1 0.0000 0.0000 0.0000  12 Ba 4.24, 4 Br 4.43

Material: Ti3FeOs
Method: DFT, SCAN
State: PBEsol geometry

Results
Density of states at the Fermi level (states/eV/atom): 0.989
Calculated total energy (eV per atom): -27.139

a = 4.3032 Å, b = 4.3032 Å, c = 4.3032 Å
α = 90.00°, β = 90.00°, γ = 90.00°
Closest atoms and distances in Å follow each position.
Sites, in units of the cell vectors:
Os1 0.5000 0.5000 0.5000  12 Ti 3.04
Fe1 0.0000 0.0000 0.0000  6 Ti 2.15
Ti1 0.0000 0.5000 0.0000  2 Fe 2.15
Ti2 0.0000 0.0000 0.5000  2 Fe 2.15
Ti3 0.5000 0.0000 0.0000  2 Fe 2.15

Material: LaAsO4
Method: DFT, SCAN
State: PBEsol geometry

Results
Formation energy (no corrections) (meV/atom): -2614.1
Density of states at the Fermi level (states/eV/atom): 0.000
Calculated total energy (eV per atom): -17.317

a = 6.1597 Å, b = 6.1597 Å, c = 6.1597 Å
α = 106.43°, β = 106.43°, γ = 115.75°
Closest atoms and distances in Å follow each position.
Sites, in units of the cell vectors:
La1 0.2500 0.7500 0.5000  8 O 2.43-2.55
La2 0.0000 0.0000 0.0000  8 O 2.43-2.55
As1 0.7500 0.2500 0.5000  4 O 1.71
As2 0.5000 0.5000 0.0000  4 O 1.71
O1 0.9169 0.5956 0.6787  1 As 1.71
O2 0.4044 0.0831 0.3213  1 As 1.71
O3 0.8456 0.6669 0.1787  1 As 1.71
O4 0.7618 0.0831 0.6787  1 As 1.71
O5 0.3331 0.5118 0.1787  1 As 1.71
O6 0.3331 0.1544 0.8213  1 As 1.71
O7 0.9169 0.2382 0.3213  1 As 1.71
O8 0.4882 0.6669 0.8213  1 As 1.71

Material: Sc2TaPb
Method: DFT, SCAN
State: PBEsol geometry

Results
Density of states at the Fermi level (states/eV/atom): 1.013
Calculated total energy (eV per atom): -42.748

a = 4.2743 Å, b = 4.2743 Å, c = 5.4596 Å
α = 113.04°, β = 113.04°, γ = 90.00°
Closest atoms and distances in Å follow each position.
Sites, in units of the cell vectors:
Pb1 0.5000 0.5000 0.0000  4 Ta 3.02, 8 Sc 3.12
Sc1 0.7500 0.2500 0.5000  4 Sc 3.02, 4 Pb 3.12, 4 Ta 3.12
Sc2 0.2500 0.7500 0.5000  4 Sc 3.02, 4 Pb 3.12, 4 Ta 3.12
Ta1 0.0000 0.0000 0.0000  4 Pb 3.02, 8 Sc 3.12